(1)
SrPaSbO6 | PBE | optimized geometry

Structure (CIF):
```
data_SrPaSbO6
_space_group_name_H-M_alt 'P -3 1 c'
_space_group_IT_number 163
_space_group_name_Hall '-P 3 2c'
_cell_length_a 5.6609
_cell_length_b 5.6609
_cell_length_c 10.5777
_cell_angle_alpha 90.00
_cell_angle_beta 90.00
_cell_angle_gamma 120.00
loop_
_atom_site_label
_atom_site_fract_x
_atom_site_fract_y
_atom_site_fract_z
Sr1 0.0000 0.0000 0.0000
Pa1 0.3333 0.6667 0.2500
Sb1 0.3333 0.6667 0.7500
O1 0.0239 0.3802 0.6449
```

Summary:
ΔE_f (raw) ... -2632 meV per atom
Total magnetization ... 0.00 μB per formula unit
N(E_F) ... 0.000 states/eV per atom

***

(2)
SrPaSb2O8 | PBE | optimized geometry

Structure (CIF):
```
data_SrPaSb2O8
_space_group_name_H-M_alt 'I -4 m 2'
_space_group_IT_number 119
_space_group_name_Hall 'I -4 -2'
_cell_length_a 7.490
_cell_length_b 7.490
_cell_length_c 6.956
_cell_angle_alpha 90.00
_cell_angle_beta 90.00
_cell_angle_gamma 90.00
loop_
_atom_site_label
_atom_site_fract_x
_atom_site_fract_y
_atom_site_fract_z
Sr1 0.000 0.000 0.000
Pa1 0.000 0.500 0.750
Sb1 0.000 0.000 0.500
Sb2 0.000 0.500 0.250
O1 0.000 0.208 0.683
O2 0.000 0.323 0.054
```

Summary:
ΔE_f (raw) ... -2134 meV per atom
Total magnetization ... 0.93 μB per formula unit
N(E_F) ... 0.227 states/eV per atom

***

(3)
TbPaSb2O8 | PBE | optimized geometry

Structure (CIF):
```
data_TbPaSb2O8
_space_group_name_H-M_alt 'I -4 m 2'
_space_group_IT_number 119
_space_group_name_Hall 'I -4 -2'
_cell_length_a 7.230
_cell_length_b 7.230
_cell_length_c 7.164
_cell_angle_alpha 90.00
_cell_angle_beta 90.00
_cell_angle_gamma 90.00
loop_
_atom_site_label
_atom_site_fract_x
_atom_site_fract_y
_atom_site_fract_z
Tb1 0.000 0.000 0.000
Pa1 0.000 0.500 0.250
Sb1 0.000 0.000 0.500
Sb2 0.000 0.500 0.750
O1 0.000 0.202 0.284
O2 0.000 0.315 0.940
```

Summary:
ΔE_f (raw) ... -2327 meV per atom
Total magnetization ... 0.00 μB per formula unit

***

(4)
PaTiSbO6 | PBE | optimized geometry

Structure (CIF):
```
data_PaTiSbO6
_space_group_name_H-M_alt 'P -3 1 c'
_space_group_IT_number 163
_space_group_name_Hall '-P 3 2c'
_cell_length_a 5.5430
_cell_length_b 5.5430
_cell_length_c 9.4143
_cell_angle_alpha 90.00
_cell_angle_beta 90.00
_cell_angle_gamma 120.00
loop_
_atom_site_label
_atom_site_fract_x
_atom_site_fract_y
_atom_site_fract_z
Pa1 0.3333 0.6667 0.2500
Ti1 0.3333 0.6667 0.7500
Sb1 0.0000 0.0000 0.0000
O1 0.0258 0.3664 0.6366
```

Summary:
ΔE_f (raw) ... -2648 meV per atom
Total magnetization ... 0.00 μB per formula unit
N(E_F) ... 0.000 states/eV per atom

***

(5)
PaTl3Sb2O9 | PBE | optimized geometry

Structure (CIF):
```
data_PaTl3Sb2O9
_space_group_name_H-M_alt 'P -3 m 1'
_space_group_IT_number 164
_space_group_name_Hall '-P 3 2"'
_cell_length_a 5.9208
_cell_length_b 5.9208
_cell_length_c 7.2782
_cell_angle_alpha 90.00
_cell_angle_beta 90.00
_cell_angle_gamma 120.00
loop_
_atom_site_label
_atom_site_fract_x
_atom_site_fract_y
_atom_site_fract_z
Pa1 0.0000 0.0000 0.0000
Tl1 0.0000 0.0000 0.5000
Tl2 0.3333 0.6667 0.1734
Sb1 0.3333 0.6667 0.6590
O1 0.0000 0.5000 0.5000
O2 0.1734 0.3467 0.8230
```

Summary:
ΔE_f (raw) ... -1639 meV per atom
Total magnetization ... 0.00 μB per formula unit
N(E_F) ... 0.146 states/eV per atom

***

(6)
PaTl2SbO6 | PBE | optimized geometry

Structure (CIF):
```
data_PaTl2SbO6
_space_group_name_H-M_alt 'F m -3 m'
_space_group_IT_number 225
_space_group_name_Hall '-F 4 2 3'
_cell_length_a 8.481
_cell_length_b 8.481
_cell_length_c 8.481
_cell_angle_alpha 90.00
_cell_angle_beta 90.00
_cell_angle_gamma 90.00
loop_
_atom_site_label
_atom_site_fract_x
_atom_site_fract_y
_atom_site_fract_z
Pa1 0.000 0.000 0.000
Tl1 0.250 0.250 0.250
Sb1 0.000 0.000 0.500
O1 0.000 0.000 0.259
```

Summary:
ΔE_f (raw) ... -1967 meV per atom
Total magnetization ... 0.00 μB per formula unit
N(E_F) ... 0.000 states/eV per atom

***

(7)
Pa2TlSbO8 | PBE | optimized geometry

Structure (CIF):
```
data_Pa2TlSbO8
_space_group_name_H-M_alt 'P 1 2/m 1'
_space_group_IT_number 10
_cell_length_a 5.097
_cell_length_b 7.248
_cell_length_c 5.108
_cell_angle_alpha 90.00
_cell_angle_beta 92.18
_cell_angle_gamma 90.00
loop_
_space_group_symop_operation_xyz
'x,y,z'
'-x,-y,-z'
'-x,y,-z'
'x,-y,z'
loop_
_atom_site_label
_atom_site_fract_x
_atom_site_fract_y
_atom_site_fract_z
Pa1 0.000 0.249 0.000
Tl1 0.500 0.500 0.500
Sb1 0.500 0.000 0.500
O1 0.165 0.500 0.840
O2 0.208 0.000 0.793
O3 0.296 0.193 0.298
```

Summary:
ΔE_f (raw) ... -2451 meV per atom
Total magnetization ... 0.00 μB per formula unit

***

(8)
PaTl3Sb2O8 | PBE | optimized geometry

Structure (CIF):
```
data_PaTl3Sb2O8
_space_group_name_H-M_alt 'P -3 m 1'
_space_group_IT_number 164
_space_group_name_Hall '-P 3 2"'
_cell_length_a 6.5302
_cell_length_b 6.5302
_cell_length_c 7.7189
_cell_angle_alpha 90.00
_cell_angle_beta 90.00
_cell_angle_gamma 120.00
loop_
_atom_site_label
_atom_site_fract_x
_atom_site_fract_y
_atom_site_fract_z
Pa1 0.0000 0.0000 0.0000
Tl1 0.0000 0.0000 0.5000
Tl2 0.3333 0.6667 0.2412
Sb1 0.3333 0.6667 0.7831
O1 0.1553 0.3106 0.8310
O2 0.3333 0.6667 0.5365
```

Summary:
ΔE_f (raw) ... -1540 meV per atom
Total magnetization ... 0.00 μB per formula unit
N(E_F) ... 0.251 states/eV per atom